one:
# Tc3IrS GGA-PBEsol optimized geometry
data_Tc3IrS
_chemical_formula_sum 'Tc3 Ir1 S1'
_cell_length_a 4.6507
_cell_length_b 4.6507
_cell_length_c 4.6507
_cell_angle_alpha 90.00
_cell_angle_beta 90.00
_cell_angle_gamma 90.00
_symmetry_space_group_name_H-M 'P 1'
_symmetry_Int_Tables_number 1
loop_
_symmetry_equiv_pos_as_xyz
'x,y,z'
loop_
_atom_site_label
_atom_site_type_symbol
_atom_site_fract_x
_atom_site_fract_y
_atom_site_fract_z
_atom_site_occupancy
S1 S 0.5000 0.5000 0.5000 1
Ir1 Ir 0.0000 0.0000 0.0000 1
Tc1 Tc 0.0000 0.5000 0.0000 1
Tc2 Tc 0.0000 0.0000 0.5000 1
Tc3 Tc 0.5000 0.0000 0.0000 1
# Magnetic moment (μB/atom): 0.485
# V (Å³/atom): 20.12



two:
# Tc3IrS GGA-PBEsol optimized geometry
data_Tc3IrS
_chemical_formula_sum 'Tc3 Ir1 S1'
_cell_length_a 4.2286
_cell_length_b 4.2286
_cell_length_c 4.2286
_cell_angle_alpha 90.00
_cell_angle_beta 90.00
_cell_angle_gamma 90.00
_symmetry_space_group_name_H-M 'P 1'
_symmetry_Int_Tables_number 1
loop_
_symmetry_equiv_pos_as_xyz
'x,y,z'
loop_
_atom_site_label
_atom_site_type_symbol
_atom_site_fract_x
_atom_site_fract_y
_atom_site_fract_z
_atom_site_occupancy
S1 S 0.0000 0.0000 0.0000 1
Ir1 Ir 0.5000 0.5000 0.5000 1
Tc1 Tc 0.0000 0.5000 0.0000 1
Tc2 Tc 0.0000 0.0000 0.5000 1
Tc3 Tc 0.5000 0.0000 0.0000 1
# Magnetic moment (μB/atom): 0.000
# V (Å³/atom): 15.12



How far above the most stable structure does each one sit? In meV per atom: one 1469; two 0.



one:
# Sb3Ir GGA-PBEsol optimized geometry
data_Sb3Ir
_chemical_formula_sum 'Sb12 Ir4'
_cell_length_a 8.0330
_cell_length_b 8.0330
_cell_length_c 8.0330
_cell_angle_alpha 109.47
_cell_angle_beta 109.47
_cell_angle_gamma 109.47
_symmetry_space_group_name_H-M 'P 1'
_symmetry_Int_Tables_number 1
loop_
_symmetry_equiv_pos_as_xyz
'x,y,z'
loop_
_atom_site_label
_atom_site_type_symbol
_atom_site_fract_x
_atom_site_fract_y
_atom_site_fract_z
_atom_site_occupancy
Ir1 Ir 0.5000 0.5000 0.5000 1
Ir2 Ir 0.0000 0.5000 0.0000 1
Ir3 Ir 0.0000 0.0000 0.5000 1
Ir4 Ir 0.5000 0.0000 0.0000 1
Sb1 Sb 0.5060 0.6601 0.8459 1
Sb2 Sb 0.1857 0.3399 0.8459 1
Sb3 Sb 0.8143 0.6601 0.1541 1
Sb4 Sb 0.4940 0.3399 0.1541 1
Sb5 Sb 0.6601 0.8459 0.5060 1
Sb6 Sb 0.3399 0.8459 0.1857 1
Sb7 Sb 0.6601 0.1541 0.8143 1
Sb8 Sb 0.3399 0.1541 0.4940 1
Sb9 Sb 0.8459 0.5060 0.6601 1
Sb10 Sb 0.8459 0.1857 0.3399 1
Sb11 Sb 0.1541 0.8143 0.6601 1
Sb12 Sb 0.1541 0.4940 0.3399 1
# Magnetic moment (μB/atom): 0.000
# V (Å³/atom): 24.94



two:
# Sb3Ir GGA-PBEsol optimized geometry
data_Sb3Ir
_chemical_formula_sum 'Sb3 Ir1'
_cell_length_a 3.1501
_cell_length_b 3.1501
_cell_length_c 9.1438
_cell_angle_alpha 90.00
_cell_angle_beta 90.00
_cell_angle_gamma 90.00
_symmetry_space_group_name_H-M 'P 1'
_symmetry_Int_Tables_number 1
loop_
_symmetry_equiv_pos_as_xyz
'x,y,z'
loop_
_atom_site_label
_atom_site_type_symbol
_atom_site_fract_x
_atom_site_fract_y
_atom_site_fract_z
_atom_site_occupancy
Sb1 Sb 0.5000 0.5000 0.8102 1
Sb2 Sb 0.0000 0.0000 0.5000 1
Sb3 Sb 0.5000 0.5000 0.1898 1
Ir1 Ir 0.0000 0.0000 0.0000 1
# Magnetic moment (μB/atom): 0.000
# V (Å³/atom): 22.68



How far above the most stable structure does each one sit? In meV per atom: one 0; two 431.



one:
# Sb3Ir GGA-PBEsol optimized geometry
data_Sb3Ir
_chemical_formula_sum 'Sb3 Ir1'
_cell_length_a 5.1651
_cell_length_b 5.1651
_cell_length_c 5.1651
_cell_angle_alpha 90.00
_cell_angle_beta 90.00
_cell_angle_gamma 90.00
_symmetry_space_group_name_H-M 'P 1'
_symmetry_Int_Tables_number 1
loop_
_symmetry_equiv_pos_as_xyz
'x,y,z'
loop_
_atom_site_label
_atom_site_type_symbol
_atom_site_fract_x
_atom_site_fract_y
_atom_site_fract_z
_atom_site_occupancy
Sb1 Sb 0.5000 0.0000 0.0000 1
Sb2 Sb 0.0000 0.5000 0.0000 1
Sb3 Sb 0.0000 0.0000 0.5000 1
Ir1 Ir 0.0000 0.0000 0.0000 1
# Magnetic moment (μB/atom): 0.000
# V (Å³/atom): 34.45



two:
# Sb3Ir GGA-PBEsol optimized geometry
data_Sb3Ir
_chemical_formula_sum 'Sb3 Ir1'
_cell_length_a 3.2756
_cell_length_b 3.0652
_cell_length_c 9.4260
_cell_angle_alpha 90.00
_cell_angle_beta 90.00
_cell_angle_gamma 90.00
_symmetry_space_group_name_H-M 'P 1'
_symmetry_Int_Tables_number 1
loop_
_symmetry_equiv_pos_as_xyz
'x,y,z'
loop_
_atom_site_label
_atom_site_type_symbol
_atom_site_fract_x
_atom_site_fract_y
_atom_site_fract_z
_atom_site_occupancy
Sb1 Sb 0.0000 0.5000 0.4509 1
Sb2 Sb 0.5000 0.5000 0.1437 1
Sb3 Sb 0.5000 0.0000 0.7572 1
Ir1 Ir 0.0000 0.0000 0.9814 1
# Magnetic moment (μB/atom): 0.000
# V (Å³/atom): 23.66



three:
# Sb3Ir GGA-PBEsol optimized geometry
data_Sb3Ir
_chemical_formula_sum 'Sb3 Ir1'
_cell_length_a 3.4959
_cell_length_b 3.4959
_cell_length_c 9.1271
_cell_angle_alpha 90.00
_cell_angle_beta 90.00
_cell_angle_gamma 120.00
_symmetry_space_group_name_H-M 'P 1'
_symmetry_Int_Tables_number 1
loop_
_symmetry_equiv_pos_as_xyz
'x,y,z'
loop_
_atom_site_label
_atom_site_type_symbol
_atom_site_fract_x
_atom_site_fract_y
_atom_site_fract_z
_atom_site_occupancy
Sb1 Sb 0.0000 0.0000 0.5000 1
Sb2 Sb 0.3333 0.6667 0.8084 1
Sb3 Sb 0.3333 0.6667 0.1916 1
Ir1 Ir 0.0000 0.0000 0.0000 1
# Magnetic moment (μB/atom): 0.000
# V (Å³/atom): 24.15



How far above the most stable structure does each one sit? In meV per atom: one 686; two 0; three 64.



one:
# SrScIr GGA-PBEsol optimized geometry
data_SrScIr
_chemical_formula_sum 'Sr1 Sc1 Ir1'
_cell_length_a 4.6114
_cell_length_b 4.6114
_cell_length_c 4.6114
_cell_angle_alpha 60.00
_cell_angle_beta 60.00
_cell_angle_gamma 60.00
_symmetry_space_group_name_H-M 'P 1'
_symmetry_Int_Tables_number 1
loop_
_symmetry_equiv_pos_as_xyz
'x,y,z'
loop_
_atom_site_label
_atom_site_type_symbol
_atom_site_fract_x
_atom_site_fract_y
_atom_site_fract_z
_atom_site_occupancy
Ir1 Ir 0.5000 0.5000 0.5000 1
Sc1 Sc 0.2500 0.2500 0.2500 1
Sr1 Sr 0.0000 0.0000 0.0000 1
# Magnetic moment (μB/atom): 0.000
# V (Å³/atom): 23.11



two:
# SrScIr GGA-PBEsol optimized geometry
data_SrScIr
_chemical_formula_sum 'Sr1 Sc1 Ir1'
_cell_length_a 4.0721
_cell_length_b 4.0721
_cell_length_c 5.8783
_cell_angle_alpha 90.00
_cell_angle_beta 90.00
_cell_angle_gamma 120.00
_symmetry_space_group_name_H-M 'P 1'
_symmetry_Int_Tables_number 1
loop_
_symmetry_equiv_pos_as_xyz
'x,y,z'
loop_
_atom_site_label
_atom_site_type_symbol
_atom_site_fract_x
_atom_site_fract_y
_atom_site_fract_z
_atom_site_occupancy
Ir1 Ir 0.0000 0.0000 0.9517 1
Sc1 Sc 0.3333 0.6667 0.7840 1
Sr1 Sr 0.6667 0.3333 0.2643 1
# Magnetic moment (μB/atom): 0.000
# V (Å³/atom): 28.14



How far above the most stable structure does each one sit? In meV per atom: one 469; two 0.



one:
# ScTcIr2 GGA-PBEsol optimized geometry
data_ScTcIr2
_chemical_formula_sum 'Sc1 Tc1 Ir2'
_cell_length_a 2.8015
_cell_length_b 3.8666
_cell_length_c 5.6416
_cell_angle_alpha 90.00
_cell_angle_beta 90.00
_cell_angle_gamma 90.00
_symmetry_space_group_name_H-M 'P 1'
_symmetry_Int_Tables_number 1
loop_
_symmetry_equiv_pos_as_xyz
'x,y,z'
loop_
_atom_site_label
_atom_site_type_symbol
_atom_site_fract_x
_atom_site_fract_y
_atom_site_fract_z
_atom_site_occupancy
Ir1 Ir 0.0000 0.0000 0.9749 1
Ir2 Ir 0.5000 0.5000 0.2553 1
Sc1 Sc 0.0000 0.0000 0.4829 1
Tc1 Tc 0.5000 0.5000 0.7869 1
# Magnetic moment (μB/atom): 0.000
# V (Å³/atom): 15.28



two:
# ScTcIr2 GGA-PBEsol optimized geometry
data_ScTcIr2
_chemical_formula_sum 'Sc1 Tc1 Ir2'
_cell_length_a 3.9598
_cell_length_b 3.9598
_cell_length_c 4.7313
_cell_angle_alpha 114.74
_cell_angle_beta 114.74
_cell_angle_gamma 90.00
_symmetry_space_group_name_H-M 'P 1'
_symmetry_Int_Tables_number 1
loop_
_symmetry_equiv_pos_as_xyz
'x,y,z'
loop_
_atom_site_label
_atom_site_type_symbol
_atom_site_fract_x
_atom_site_fract_y
_atom_site_fract_z
_atom_site_occupancy
Ir1 Ir 0.7500 0.2500 0.5000 1
Ir2 Ir 0.2500 0.7500 0.5000 1
Sc1 Sc 0.0000 0.0000 0.0000 1
Tc1 Tc 0.5000 0.5000 0.0000 1
# Magnetic moment (μB/atom): 0.001
# V (Å³/atom): 14.95



three:
# ScTcIr2 GGA-PBEsol optimized geometry
data_ScTcIr2
_chemical_formula_sum 'Sc1 Tc1 Ir2'
_cell_length_a 2.8114
_cell_length_b 4.7039
_cell_length_c 4.7039
_cell_angle_alpha 107.13
_cell_angle_beta 90.00
_cell_angle_gamma 90.00
_symmetry_space_group_name_H-M 'P 1'
_symmetry_Int_Tables_number 1
loop_
_symmetry_equiv_pos_as_xyz
'x,y,z'
loop_
_atom_site_label
_atom_site_type_symbol
_atom_site_fract_x
_atom_site_fract_y
_atom_site_fract_z
_atom_site_occupancy
Ir1 Ir 0.0000 0.0000 0.5000 1
Ir2 Ir 0.0000 0.5000 0.0000 1
Sc1 Sc 0.5000 0.5000 0.5000 1
Tc1 Tc 0.5000 0.0000 0.0000 1
# Magnetic moment (μB/atom): 0.000
# V (Å³/atom): 14.86



How far above the most stable structure does each one sit? In meV per atom: one 182; two 97; three 0.



one:
# Y2ScIr GGA-PBEsol optimized geometry
data_Y2ScIr
_chemical_formula_sum 'Y2 Sc1 Ir1'
_cell_length_a 3.6948
_cell_length_b 3.6948
_cell_length_c 9.2374
_cell_angle_alpha 78.46
_cell_angle_beta 78.46
_cell_angle_gamma 60.00
_symmetry_space_group_name_H-M 'P 1'
_symmetry_Int_Tables_number 1
loop_
_symmetry_equiv_pos_as_xyz
'x,y,z'
loop_
_atom_site_label
_atom_site_type_symbol
_atom_site_fract_x
_atom_site_fract_y
_atom_site_fract_z
_atom_site_occupancy
Ir1 Ir 0.5053 0.5053 0.4842 1
Sc1 Sc 0.2246 0.2246 0.3262 1
Y1 Y 0.9950 0.9950 0.0151 1
Y2 Y 0.7751 0.7751 0.6746 1
# Magnetic moment (μB/atom): 0.000
# V (Å³/atom): 26.56



two:
# Y2ScIr GGA-PBEsol optimized geometry
data_Y2ScIr
_chemical_formula_sum 'Y2 Sc1 Ir1'
_cell_length_a 4.1412
_cell_length_b 4.1412
_cell_length_c 5.8442
_cell_angle_alpha 110.75
_cell_angle_beta 110.75
_cell_angle_gamma 90.00
_symmetry_space_group_name_H-M 'P 1'
_symmetry_Int_Tables_number 1
loop_
_symmetry_equiv_pos_as_xyz
'x,y,z'
loop_
_atom_site_label
_atom_site_type_symbol
_atom_site_fract_x
_atom_site_fract_y
_atom_site_fract_z
_atom_site_occupancy
Ir1 Ir 0.5000 0.5000 0.0000 1
Sc1 Sc 0.2500 0.7500 0.5000 1
Y1 Y 0.0000 0.0000 0.0000 1
Y2 Y 0.7500 0.2500 0.5000 1
# Magnetic moment (μB/atom): 0.000
# V (Å³/atom): 21.68



three:
# Y2ScIr GGA-PBEsol optimized geometry
data_Y2ScIr
_chemical_formula_sum 'Y2 Sc1 Ir1'
_cell_length_a 3.4955
_cell_length_b 5.0378
_cell_length_c 6.0843
_cell_angle_alpha 114.46
_cell_angle_beta 106.69
_cell_angle_gamma 90.00
_symmetry_space_group_name_H-M 'P 1'
_symmetry_Int_Tables_number 1
loop_
_symmetry_equiv_pos_as_xyz
'x,y,z'
loop_
_atom_site_label
_atom_site_type_symbol
_atom_site_fract_x
_atom_site_fract_y
_atom_site_fract_z
_atom_site_occupancy
Y1 Y 0.9997 0.9997 0.9994 1
Y2 Y 0.7956 0.2956 0.5913 1
Sc1 Sc 0.1963 0.6963 0.3926 1
Ir1 Ir 0.5084 0.5084 0.0168 1
# Magnetic moment (μB/atom): 0.000
# V (Å³/atom): 23.14



How far above the most stable structure does each one sit? In meV per atom: one 246; two 309; three 0.